Entry 1:
AcLuGaNi | GGA-PBE | optimized geometry

Its formation energy is -1.11 eV/f.u.

It has space group F-43m (No. 216), with a = 7.266 Å, b = 7.266 Å, c = 7.266 Å, α = 90.00°, β = 90.00° and γ = 90.00°. Symmetry generates all atoms from Ac at (0.000, 0.000, 0.000), Lu at (0.000, 0.000, 0.500), Ga at (0.250, 0.250, 0.750) and Ni at (0.250, 0.250, 0.250).


Entry 2:
Er8In2Tc | GGA-PBE | optimized geometry

Its formation energy is -2.39 eV/f.u.

It has space group C2/m (No. 12), with a = 17.169 Å, b = 5.441 Å, c = 6.939 Å, α = 90.00°, β = 112.54° and γ = 90.00°. Symmetry generates all atoms from Er at (0.009, 0.000, 0.270), Er at (0.110, 0.500, 0.901), Er at (0.139, 0.500, 0.406), Er at (0.192, 0.000, 0.734), In at (0.185, 0.000, 0.188) and Tc at (0.000, 0.500, 0.500).


Entry 3:
CsRuCl3 | GGA-PBE | optimized geometry

Its formation energy without anion corrections is 670 meV per atom.

It has space group Pm-3m (No. 221), with a = 6.171 Å, b = 6.171 Å, c = 6.171 Å, α = 90.00°, β = 90.00° and γ = 90.00°. Symmetry generates all atoms from Cs at (0.000, 0.000, 0.000), Ru at (0.500, 0.500, 0.500) and Cl at (0.000, 0.000, 0.500).


Entry 4:
PrY2Pt | GGA-PBE | optimized geometry

Its formation energy is -2.58 eV/f.u. As for the polymorph energy (0 for the lowest one): 29 meV/atom.

It has space group Cmcm (No. 63), with a = 3.830 Å, b = 12.632 Å, c = 9.384 Å, α = 90.00°, β = 90.00° and γ = 90.00°. Symmetry generates all atoms from Pr at (0.000, 0.065, 0.250), Y at (0.000, 0.361, 0.063) and Pt at (0.000, 0.239, 0.750).


Entry 5:
Ta2FeCu | GGA-PBE | optimized geometry

Its formation energy is 0.26 eV/f.u. As for the polymorph energy (0 for the lowest one): 28 meV/atom.

It has space group Cmmm (No. 65), with a = 5.569 Å, b = 7.153 Å, c = 2.946 Å, α = 90.00°, β = 90.00° and γ = 90.00°. Symmetry generates all atoms from Ta at (0.250, 0.250, 0.000), Fe at (0.000, 0.000, 0.500) and Cu at (0.000, 0.500, 0.500).


Entry 6:
Li3Ti3VSe8 | GGA-PBE | optimized geometry

Its formation energy without anion corrections is -1120 meV per atom.

It has space group R-3m (No. 166, hexagonal axes), with a = 7.2264 Å, b = 7.2264 Å, c = 19.6374 Å, α = 90.00°, β = 90.00° and γ = 120.00°. Symmetry generates all atoms from Li at (0.0000, 0.5000, 0.0000), Ti at (0.0000, 0.5000, 0.5000), V at (0.0000, 0.0000, 0.5000), Se at (0.0000, 0.0000, 0.2456) and Se at (0.0003, 0.5001, 0.2446).


Entry 7:
TaHgCl2 | GGA-PBE | optimized geometry

Its formation energy without anion corrections is -139 meV per atom. As for the polymorph energy (0 for the lowest one): 439 meV/atom.

It has space group Imm2 (No. 44), with a = 3.058 Å, b = 4.591 Å, c = 14.436 Å, α = 90.00°, β = 90.00° and γ = 90.00°. Symmetry generates all atoms from Ta at (0.000, 0.000, 0.000), Hg at (0.000, 0.500, 0.322), Cl at (0.000, 0.000, 0.483) and Cl at (0.000, 0.500, 0.637).


Entry 8:
LaNd2HgN | GGA-PBE | optimized geometry

Its formation energy without anion corrections is -764 meV per atom.

It has space group P4/mmm (No. 123), with a = 5.040 Å, b = 5.040 Å, c = 5.076 Å, α = 90.00°, β = 90.00° and γ = 90.00°. Symmetry generates all atoms from La at (0.000, 0.000, 0.000), Nd at (0.000, 0.500, 0.500), Hg at (0.500, 0.500, 0.000) and N at (0.000, 0.000, 0.500).


Entry 9:
K2PrYTe4 | GGA-PBE | optimized geometry

Its formation energy without anion corrections is -1412 meV per atom.

It has space group P2/m (No. 10), with a = 7.925 Å, b = 4.576 Å, c = 8.669 Å, α = 90.00°, β = 107.74° and γ = 90.00°. Symmetry generates all atoms from K at (0.000, 0.000, 0.000), K at (0.500, 0.500, 0.000), Pr at (0.000, 0.500, 0.500), Y at (0.500, 0.000, 0.500), Te at (0.246, 0.000, 0.714) and Te at (0.271, 0.500, 0.290).


Entry 10:
ZrGaHg2 | GGA-PBE | optimized geometry

Its formation energy is 0.14 eV/f.u.

It has space group I-42d (No. 122), with a = 7.766 Å, b = 7.766 Å, c = 5.920 Å, α = 90.00°, β = 90.00° and γ = 90.00°. Symmetry generates all atoms from Zr at (0.000, 0.000, 0.000), Ga at (0.000, 0.000, 0.500) and Hg at (0.226, 0.250, 0.625).


Entry 11:
MgInCoN | GGA-PBE | optimized geometry

Its formation energy without anion corrections is -76 meV per atom. As for the polymorph energy (0 for the lowest one): 27 meV/atom.

It has space group Cm (No. 8), with a = 5.373 Å, b = 3.063 Å, c = 7.055 Å, α = 90.00°, β = 104.55° and γ = 90.00°. Symmetry generates all atoms from Mg at (0.000, 0.000, 0.000), In at (0.209, 0.000, 0.627), Co at (0.432, 0.000, 0.302) and N at (0.226, 0.500, 0.180).


Entry 12:
Li2Mn3WN6 | GGA-PBE | optimized geometry

Its formation energy without anion corrections is -445 meV per atom.

It has space group C2/m (No. 12), with a = 5.064 Å, b = 8.749 Å, c = 4.986 Å, α = 90.00°, β = 109.73° and γ = 90.00°. Symmetry generates all atoms from Li at (0.000, 0.167, 0.000), Mn at (0.000, 0.000, 0.500), Mn at (0.000, 0.330, 0.500), W at (0.000, 0.500, 0.000), N at (0.236, 0.500, 0.729) and N at (0.248, 0.163, 0.738).


Quick rundown of DFT total energy, same order as above: -4.6367; -4.9758; -2.4643; -6.5817; -9.0021; -5.5483; -4.1006; -5.3818; -4.6632; -3.0108; -5.0169; -8.2987 eV per atom